Here is an optimized crystal structure of CaMn2BrN from Alexandria via LeMat-Bulk. Energies are from PBE-GGA.

The space group is P4/mmm (No. 123) and the conventional cell measures 4.471, 4.471 and 5.110 Å, with angles of 90.00, 90.00 and 90.00 degrees. Symmetry generates all atoms from Ca at (0.000, 0.000, 0.000), Mn at (0.000, 0.500, 0.500), Br at (0.500, 0.500, 0.500) and N at (0.500, 0.500, 0.000).

The calculation puts the energy at -24.42 eV per cell. The density of states at the Fermi level is 0.88 states/eV per atom. For the uncorrected formation energy, the calculation gives 1.185 eV/atom.